The following is a DFT calculation (GGA-PBE) of an optimized crystal structure of ScGe.

The structure in POSCAR format:
```
ScGe
1.0
0.000 4.431 5.599
3.293 0.000 5.599
3.293 4.431 0.000
Sc Ge
4 4
Cartesian
2.470 0.827 4.199 Sc
4.116 3.042 6.999 Sc
2.470 5.820 4.199 Sc
4.116 8.035 6.999 Sc
3.761 3.323 4.199 Ge
5.407 5.539 6.999 Ge
1.179 3.323 4.199 Ge
2.825 5.539 6.999 Ge
```

Summary:
ΔE_f   -661.9 meV/atom
Space-group type   Fddd (70)
E_tot   -6.1363 eV/atom

---

The following is a DFT calculation (GGA-PBE) of an optimized crystal structure of Mg2AlZn.

The structure in POSCAR format:
```
Mg2AlZn
1.0
-2.097 2.097 4.311
2.097 -2.097 4.311
2.097 2.097 -4.311
Mg Al Zn
2 1 1
Cartesian
0.000 0.000 0.000 Mg
0.000 2.097 2.155 Mg
0.000 0.000 4.311 Al
2.097 0.000 2.155 Zn
```

Summary:
ΔE_f   -2.2 meV/atom
Space-group type   I-4m2 (119)
E_tot   -2.0537 eV/atom

---

The following is a DFT calculation (GGA-PBE) of an optimized crystal structure of Ac2La4PmTm.

The structure in POSCAR format:
```
Ac2La4PmTm
1.0
5.292 0.000 0.000
0.000 5.334 0.000
-0.010 0.000 10.665
Ac La Pm Tm
2 4 1 1
Cartesian
0.000 0.000 0.000 Ac
2.641 2.667 5.333 Ac
5.288 2.667 2.679 La
-0.006 2.667 7.986 La
2.636 0.000 7.974 La
2.647 0.000 2.692 La
2.646 2.667 0.000 Pm
-0.005 0.000 5.333 Tm
```

Summary:
ΔE_f   33.8 meV/atom
Space-group type   P2/m (10)
E_tot   -4.6098 eV/atom

---

The following is a DFT calculation (GGA-PBE) of an optimized crystal structure of Mg4Si3.

The structure in POSCAR format:
```
Mg4Si3
1.0
5.449 0.000 0.000
-1.110 6.572 0.000
-0.257 -3.090 7.668
Mg Si
8 6
Cartesian
0.000 0.000 0.000 Mg
-1.079 5.431 2.828 Mg
0.108 2.143 2.596 Mg
1.533 -0.761 6.816 Mg
1.394 2.573 6.237 Mg
1.627 4.662 4.020 Mg
2.848 0.388 1.587 Mg
4.375 0.708 5.360 Mg
-1.005 3.659 4.997 Si
0.539 4.392 0.825 Si
1.604 0.487 4.372 Si
2.682 3.615 1.530 Si
2.905 2.346 3.592 Si
4.423 2.654 0.109 Si
```

Summary:
Space-group type   P1 (1)
E_tot   -3.1825 eV/atom
Formation energy (no corrections)   0.4 eV/f.u.

---

The following is a DFT calculation (GGA-PBE) of an optimized crystal structure of TaTc2Pt.

The structure in POSCAR format:
```
TaTc2Pt
1.0
3.290 0.000 0.000
0.000 3.290 0.000
0.000 0.000 5.830
Ta Tc Pt
1 2 1
Cartesian
0.000 0.000 0.000 Ta
1.645 1.645 1.455 Tc
1.645 1.645 4.375 Tc
0.000 0.000 2.915 Pt
```

Summary:
ΔE_f   -88.4 meV/atom
Space-group type   P4/mmm (123)
E_tot   -9.7447 eV/atom

---

The following is a DFT calculation (GGA-PBE) of an optimized crystal structure of La2Sm6Ho5.

The structure in POSCAR format:
```
La2Sm6Ho5
1.0
11.837 0.000 0.000
0.000 20.456 0.000
0.000 0.000 3.640
La Sm Ho
4 12 10
Cartesian
1.985 4.471 0.000 La
3.933 14.699 0.000 La
7.904 5.757 0.000 La
9.852 15.985 0.000 La
0.703 18.904 0.000 Sm
0.923 13.022 0.000 Sm
2.117 7.701 1.820 Sm
3.802 17.929 1.820 Sm
4.996 2.794 0.000 Sm
5.216 8.676 0.000 Sm
6.622 11.780 0.000 Sm
6.841 17.662 0.000 Sm
8.036 2.528 1.820 Sm
9.720 12.756 1.820 Sm
10.915 7.434 0.000 Sm
11.134 1.552 0.000 Sm
0.000 10.228 1.820 Ho
1.113 15.958 1.820 Ho
2.370 1.116 1.820 Ho
3.549 11.344 1.820 Ho
4.806 5.730 1.820 Ho
5.919 0.000 1.820 Ho
7.032 14.726 1.820 Ho
8.288 9.112 1.820 Ho
9.467 19.340 1.820 Ho
10.724 4.498 1.820 Ho
```

Summary:
ΔE_f   100.7 meV/atom
Space-group type   Pbam (55)
E_tot   -4.5961 eV/atom

---

The following is a DFT calculation (GGA-PBE) of an optimized crystal structure of Be3ZnIr.

The structure in POSCAR format:
```
Be3ZnIr
1.0
3.950 0.000 0.000
0.000 3.950 0.000
0.000 0.000 3.950
Be Zn Ir
3 1 1
Cartesian
0.000 0.000 1.975 Be
0.000 1.975 0.000 Be
1.975 0.000 0.000 Be
0.000 0.000 0.000 Zn
1.975 1.975 1.975 Ir
```

Summary:
ΔE_f   882.0 meV/atom
Space-group type   Pm-3m (221)
E_tot   -3.3807 eV/atom

---

The following is a DFT calculation (GGA-PBE) of an optimized crystal structure of Y2TlNi2.

The structure in POSCAR format:
```
Y2TlNi2
1.0
-1.763 1.763 8.784
1.763 -1.763 8.784
1.763 1.763 -8.784
Y Tl Ni
2 1 2
Cartesian
0.000 0.000 2.248 Y
0.000 0.000 15.319 Y
0.000 0.000 8.784 Tl
1.763 0.000 4.392 Ni
0.000 1.763 4.392 Ni
```

Summary:
ΔE_f   -216.0 meV/atom
Space-group type   I4/mmm (139)
E_tot   -5.5874 eV/atom

---

The following is a DFT calculation (GGA-PBE) of an optimized crystal structure of Pu3Pt2Pb.

The structure in POSCAR format:
```
Pu3Pt2Pb
1.0
3.487 0.000 0.000
0.000 3.487 0.000
0.000 0.000 11.766
Pu Pt Pb
3 2 1
Cartesian
0.000 0.000 0.000 Pu
0.000 0.000 3.516 Pu
0.000 0.000 8.250 Pu
1.743 1.743 1.776 Pt
1.743 1.743 9.991 Pt
1.743 1.743 5.883 Pb
```

Summary:
ΔE_f   -558.8 meV/atom
Space-group type   P4/mmm (123)
E_tot   -10.3564 eV/atom

---

The following is a DFT calculation (GGA-PBE) of an optimized crystal structure of Ag3Pt2Au.

The structure in POSCAR format:
```
Ag3Pt2Au
1.0
5.424 0.000 0.000
0.000 5.576 0.000
-1.621 0.000 6.927
Ag Pt Au
6 4 2
Cartesian
0.019 1.394 2.437 Ag
0.123 4.182 2.413 Ag
-0.363 1.394 6.882 Ag
4.166 4.182 0.045 Ag
3.680 1.394 4.515 Ag
3.784 4.182 4.490 Ag
1.147 2.794 4.687 Pt
1.147 5.569 4.687 Pt
2.656 0.006 2.241 Pt
2.656 2.782 2.241 Pt
-0.124 4.182 6.873 Au
3.927 1.394 0.054 Au
```

Summary:
ΔE_f   102.2 meV/atom
Space-group type   P2_1/m (11)
E_tot   -3.8833 eV/atom

---

The following is a DFT calculation (GGA-PBE) of an optimized crystal structure of Ta2CrAs.

The structure in POSCAR format:
```
Ta2CrAs
1.0
-2.050 2.050 3.779
2.050 -2.050 3.779
2.050 2.050 -3.779
Ta Cr As
2 1 1
Cartesian
2.050 0.000 1.889 Ta
0.000 2.050 1.889 Ta
0.000 0.000 0.000 Cr
0.000 0.000 3.779 As
```

Summary:
ΔE_f   87.3 meV/atom
Space-group type   I4/mmm (139)
E_tot   -9.4073 eV/atom

---

The following is a DFT calculation (GGA-PBE) of an optimized crystal structure of Dy2Pa3Co2.

The structure in POSCAR format:
```
Dy2Pa3Co2
1.0
5.595 -1.783 0.000
5.595 1.783 0.000
-3.086 0.000 8.041
Dy Pa Co
2 3 2
Cartesian
0.925 0.000 2.376 Dy
7.179 0.000 5.665 Dy
4.014 0.000 0.523 Pa
4.052 0.000 4.021 Pa
4.090 0.000 7.518 Pa
-0.912 0.000 5.727 Co
9.016 0.000 2.314 Co
```

Summary:
ΔE_f   -212.2 meV/atom
Space-group type   C2/m (12)
E_tot   -7.6270 eV/atom

---

The following is a DFT calculation (GGA-PBE) of an optimized crystal structure of Sr2ReC.

The structure in POSCAR format:
```
Sr2ReC
1.0
-5.371 5.371 1.995
5.371 -5.371 1.995
5.371 5.371 -1.995
Sr Re C
4 2 2
Cartesian
0.628 2.685 0.499 Sr
-2.685 4.743 1.496 Sr
-0.628 8.056 0.499 Sr
2.685 5.999 1.496 Sr
5.371 0.000 0.997 Re
0.000 0.000 1.995 Re
0.000 0.000 0.000 C
0.000 5.371 0.997 C
```

Summary:
ΔE_f   465.7 meV/atom
Space-group type   I-42d (122)
E_tot   -5.7932 eV/atom

---

The following is a DFT calculation (GGA-PBE) of an optimized crystal structure of ZnGeS.

The structure in POSCAR format:
```
ZnGeS
1.0
3.634 0.000 0.000
-1.817 3.147 0.000
0.000 0.000 5.456
Zn Ge S
1 1 1
Cartesian
0.000 0.000 0.000 Zn
1.817 1.049 3.573 Ge
1.817 1.049 1.152 S
```

Summary:
Space-group type   P3m1 (156)
E_tot   -3.4424 eV/atom
Formation energy (no corrections)   -0.3 eV/f.u.

---

The following is a DFT calculation (GGA-PBE) of an optimized crystal structure of Pa2Al4CuAu3.

The structure in POSCAR format:
```
Pa2Al4CuAu3
1.0
4.288 0.000 0.000
0.000 4.288 0.000
0.000 0.000 10.409
Pa Al Cu Au
2 4 1 3
Cartesian
0.000 2.144 2.502 Pa
2.144 0.000 7.907 Pa
0.000 0.000 5.205 Al
0.000 2.144 9.096 Al
2.144 0.000 1.313 Al
2.144 2.144 5.205 Al
2.144 2.144 0.000 Cu
0.000 0.000 0.000 Au
0.000 2.144 6.633 Au
2.144 0.000 3.776 Au
```

Summary:
ΔE_f   -430.6 meV/atom
Space-group type   P-4m2 (115)
E_tot   -5.2196 eV/atom

---

The following is a DFT calculation (GGA-PBE) of an optimized crystal structure of K8Hg2Au.

The structure in POSCAR format:
```
K8Hg2Au
1.0
-2.892 5.051 8.605
2.892 -5.051 8.605
2.892 5.051 -8.605
K Hg Au
8 2 1
Cartesian
2.892 2.788 -2.719 K
0.000 0.000 2.270 K
0.000 3.195 0.000 K
2.892 2.788 2.719 K
0.000 2.263 5.886 K
0.000 6.906 0.000 K
0.000 0.000 14.940 K
0.000 2.263 11.324 K
2.892 0.000 5.287 Hg
0.000 5.051 3.318 Hg
2.892 0.000 0.000 Au
```

Summary:
ΔE_f   -111.2 meV/atom
Space-group type   Immm (71)
E_tot   -1.2622 eV/atom

---

The following is a DFT calculation (GGA-PBE) of an optimized crystal structure of SrLi4Hg.

The structure in POSCAR format:
```
SrLi4Hg
1.0
8.602 0.000 0.000
0.000 4.446 0.000
0.000 0.000 8.042
Sr Li Hg
2 8 2
Cartesian
2.151 0.000 0.872 Sr
6.452 0.000 7.170 Sr
0.000 0.000 4.021 Li
0.559 2.223 6.296 Li
2.151 2.223 3.800 Li
3.742 2.223 6.296 Li
4.301 0.000 4.021 Li
4.860 2.223 1.746 Li
6.452 2.223 4.241 Li
8.043 2.223 1.746 Li
2.151 0.000 5.650 Hg
6.452 0.000 2.391 Hg
```

Summary:
ΔE_f   -161.5 meV/atom
Space-group type   Pmma (51)
E_tot   -1.7680 eV/atom

---

The following is a DFT calculation (GGA-PBE) of an optimized crystal structure of Y4Al12Ni.

The structure in POSCAR format:
```
Y4Al12Ni
1.0
-4.303 4.303 4.303
4.303 -4.303 4.303
4.303 4.303 -4.303
Y Al Ni
4 12 1
Cartesian
2.151 2.151 -2.151 Y
2.151 -2.151 2.151 Y
-2.151 2.151 2.151 Y
2.151 2.151 2.151 Y
2.439 0.000 0.000 Al
6.166 0.000 0.000 Al
4.303 2.151 0.000 Al
4.303 0.000 2.151 Al
0.000 2.439 0.000 Al
0.000 0.000 2.439 Al
2.151 4.303 0.000 Al
2.151 0.000 4.303 Al
0.000 6.166 0.000 Al
0.000 0.000 6.166 Al
0.000 4.303 2.151 Al
0.000 2.151 4.303 Al
0.000 0.000 0.000 Ni
```

Summary:
ΔE_f   -493.7 meV/atom
Space-group type   Im-3m (229)
E_tot   -4.9966 eV/atom

---

The following is a DFT calculation (GGA-PBE) of an optimized crystal structure of ScGaAgIr.

The structure in POSCAR format:
```
ScGaAgIr
1.0
0.000 3.216 3.216
3.216 0.000 3.216
3.216 3.216 0.000
Sc Ga Ag Ir
1 1 1 1
Cartesian
0.000 0.000 0.000 Sc
3.216 3.216 3.216 Ga
1.608 1.608 1.608 Ag
4.823 4.823 4.823 Ir
```

Summary:
ΔE_f   -473.1 meV/atom
Space-group type   F-43m (216)
E_tot   -5.7408 eV/atom

---

The following is a DFT calculation (GGA-PBE) of an optimized crystal structure of KMnOs2.

The structure in POSCAR format:
```
KMnOs2
1.0
-1.346 2.706 5.290
1.346 -2.706 5.290
1.346 2.706 -5.290
K Mn Os
1 1 2
Cartesian
0.000 0.000 0.000 K
1.346 0.000 3.105 Mn
0.000 0.000 5.317 Os
0.000 2.706 2.174 Os
```

Summary:
ΔE_f   1215.0 meV/atom
Space-group type   Imm2 (44)
E_tot   -6.9666 eV/atom